# Rb2Co2PdS4 | OQMD via LeMat-Bulk | GGA-PBE | optimized geometry
data_Rb2Co2PdS4
_symmetry_space_group_name_H-M 'C 1 2/m 1'
_symmetry_Int_Tables_number 12
_cell_length_a 6.1173
_cell_length_b 13.7963
_cell_length_c 5.6862
_cell_angle_alpha 90.00
_cell_angle_beta 118.96
_cell_angle_gamma 90.00
loop_
_symmetry_equiv_pos_as_xyz
'x,y,z'
'-x,-y,-z'
'-x,y,-z'
'x,-y,z'
'x+1/2,y+1/2,z'
'-x+1/2,-y+1/2,-z'
'-x+1/2,y+1/2,-z'
'x+1/2,-y+1/2,z'
loop_
_atom_site_label
_atom_site_type_symbol
_atom_site_fract_x
_atom_site_fract_y
_atom_site_fract_z
Rb1 Rb 0.0000 0.1599 0.0000
Co1 Co 0.0000 0.5000 0.0000
Co2 Co 0.0000 0.5000 0.5000
Pd1 Pd 0.0000 0.0000 0.5000
S1 S 0.1522 0.3925 0.3285
# Total magnetic moment in μB per cell: 4.00
# Distance to the lowest polymorph of the same formula in meV/atom: 0